Computed, not measured: Pr2Er2Cd after structural relaxation at the PBE level of DFT.

Structure (CIF):
```
data_Pr2Er2Cd
_chemical_formula_sum 'Pr8 Er8 Cd4'
_cell_length_a 5.2411
_cell_length_b 16.8988
_cell_length_c 6.8397
_cell_angle_alpha 90.00
_cell_angle_beta 90.00
_cell_angle_gamma 90.00
_space_group_name_H-M_alt 'C m c 21'
_space_group_IT_number 36
loop_
_space_group_symop_operation_xyz
'x,y,z'
'-x,-y,z+1/2'
'-x,y,z'
'x,-y,z+1/2'
'x+1/2,y+1/2,z'
'-x+1/2,-y+1/2,z+1/2'
'-x+1/2,y+1/2,z'
'x+1/2,-y+1/2,z+1/2'
loop_
_atom_site_label
_atom_site_fract_x
_atom_site_fract_y
_atom_site_fract_z
Pr1 0.0000 0.0039 0.0000
Pr2 0.0000 0.2008 0.9948
Er1 0.0000 0.1943 0.4822
Er2 0.0000 0.3923 0.2392
Cd1 0.0000 0.3915 0.7454
```

crystal system: orthorhombic
DFT total energy: -3.94 eV/atom
calculated density: 7.99 g/cm³